Here is an optimized crystal structure of PmNd5Sm2Dy from the Alexandria database. Energies are from GGA-PBE.

```
PmNd5Sm2Dy
1.0
8.877 0.000 0.000
0.000 8.877 0.000
-4.438 -4.438 7.962
Nd Pm Dy Sm
10 2 2 4
Direct
0.652 0.152 0.722 Nd
0.930 0.430 0.278 Nd
0.570 0.652 0.722 Nd
0.348 0.848 0.278 Nd
0.152 0.070 0.722 Nd
0.500 0.500 0.000 Nd
0.430 0.348 0.278 Nd
0.070 0.570 0.722 Nd
0.000 0.000 0.000 Nd
0.848 0.930 0.278 Nd
0.750 0.750 0.500 Pm
0.250 0.250 0.500 Pm
0.750 0.250 0.500 Dy
0.250 0.750 0.500 Dy
0.383 0.883 0.000 Sm
0.117 0.383 0.000 Sm
0.617 0.117 0.000 Sm
0.883 0.617 0.000 Sm
```

Theoretical density: 7.04 g/cm3
Energy of formation: 0.2794 eV/atom